## a
Compound: ZnCuRu
Source: Alexandria via LeMat-Bulk
Functional: PBE
Structure: relaxed

Cell: 2.7490 4.5904 6.9429 Å, 75.87 78.73 72.72°
Last column: nearest neighbours and their distance in Å.
Atoms (fractional coordinates):
Zn 0.0078 0.2560 0.2285  5 Cu 2.55-2.60, 5 Ru 2.68-2.79, 2 Zn 2.75
Zn 0.9922 0.7440 0.7715  5 Cu 2.55-2.60, 5 Ru 2.68-2.79, 2 Zn 2.75
Cu 0.3253 0.7547 0.0933  5 Zn 2.55-2.60, 5 Cu 2.65-2.78, 2 Ru 2.68-2.69
Cu 0.6747 0.2453 0.9067  5 Zn 2.55-2.60, 5 Cu 2.65-2.78, 2 Ru 2.68-2.69
Ru 0.3405 0.2525 0.5674  5 Ru 2.56-2.75, 2 Cu 2.68-2.69, 5 Zn 2.68-2.79
Ru 0.6595 0.7475 0.4326  5 Ru 2.56-2.75, 2 Cu 2.68-2.69, 5 Zn 2.68-2.79

## b
Compound: ZnCuRu
Source: Alexandria via LeMat-Bulk
Functional: PBE
Structure: relaxed

Cell: 5.6949 5.6949 5.6949 Å, 90.00 90.00 90.00°
Last column: nearest neighbours and their distance in Å.
Atoms (fractional coordinates):
Zn 0.0000 0.0000 0.0000  4 Cu 2.47
Zn 0.0000 0.5000 0.5000  4 Cu 2.47
Zn 0.5000 0.0000 0.5000  4 Cu 2.47
Zn 0.5000 0.5000 0.0000  4 Cu 2.47
Cu 0.2500 0.2500 0.2500  4 Ru 2.47, 4 Zn 2.47
Cu 0.2500 0.7500 0.7500  4 Ru 2.47, 4 Zn 2.47
Cu 0.7500 0.2500 0.7500  4 Ru 2.47, 4 Zn 2.47
Cu 0.7500 0.7500 0.2500  4 Ru 2.47, 4 Zn 2.47
Ru 0.0000 0.0000 0.5000  4 Cu 2.47
Ru 0.0000 0.5000 0.0000  4 Cu 2.47
Ru 0.5000 0.0000 0.0000  4 Cu 2.47
Ru 0.5000 0.5000 0.5000  4 Cu 2.47

Stability comparison, relative energies in meV per atom: a 0; b 506

## a
Compound: Zn6CuRu
Source: Alexandria via LeMat-Bulk
Functional: PBE
Structure: relaxed

Cell: 6.6030 8.3119 4.0958 Å, 90.00 90.00 90.00°
Last column: nearest neighbours and their distance in Å.
Atoms (fractional coordinates):
Zn 0.0000 0.2181 0.0000  8 Zn 2.58-2.76, 2 Ru 2.73
Zn 0.0000 0.7819 0.0000  8 Zn 2.58-2.76, 2 Ru 2.73
Zn 0.2210 0.5000 0.0000  2 Cu 2.51, 4 Zn 2.58-2.76, 2 Ru 2.75
Zn 0.2500 0.2500 0.5000  8 Zn 2.64-2.92, 2 Ru 2.65, 2 Cu 2.65
Zn 0.2500 0.7500 0.5000  8 Zn 2.64-2.92, 2 Ru 2.65, 2 Cu 2.65
Zn 0.2790 0.0000 0.0000  2 Cu 2.51, 4 Zn 2.58-2.76, 2 Ru 2.75
Zn 0.5000 0.2819 0.0000  8 Zn 2.58-2.76, 2 Ru 2.73
Zn 0.5000 0.7181 0.0000  8 Zn 2.58-2.76, 2 Ru 2.73
Zn 0.7210 0.0000 0.0000  2 Cu 2.51, 4 Zn 2.58-2.76, 2 Ru 2.75
Zn 0.7500 0.2500 0.5000  8 Zn 2.64-2.92, 2 Ru 2.65, 2 Cu 2.65
Zn 0.7500 0.7500 0.5000  8 Zn 2.64-2.92, 2 Ru 2.65, 2 Cu 2.65
Zn 0.7790 0.5000 0.0000  2 Cu 2.51, 4 Zn 2.58-2.76, 2 Ru 2.75
Cu 0.0000 0.5000 0.5000  8 Zn 2.51-2.65
Cu 0.5000 0.0000 0.5000  8 Zn 2.51-2.65
Ru 0.0000 0.0000 0.5000  12 Zn 2.65-2.75
Ru 0.5000 0.5000 0.5000  12 Zn 2.65-2.75

## b
Compound: Zn6CuRu
Source: Alexandria via LeMat-Bulk
Functional: PBE
Structure: relaxed

Cell: 5.1043 5.1043 5.1043 Å, 84.15 84.15 84.15°
Last column: nearest neighbours and their distance in Å.
Atoms (fractional coordinates):
Zn 0.1579 0.1579 0.5355  5 Zn 2.47-2.64, 1 Cu 2.50, 1 Ru 2.57
Zn 0.1579 0.5355 0.1579  5 Zn 2.47-2.64, 1 Cu 2.50, 1 Ru 2.57
Zn 0.4645 0.8421 0.8421  5 Zn 2.47-2.64, 1 Cu 2.50, 1 Ru 2.57
Zn 0.5355 0.1579 0.1579  5 Zn 2.47-2.64, 1 Cu 2.50, 1 Ru 2.57
Zn 0.8421 0.4645 0.8421  5 Zn 2.47-2.64, 1 Cu 2.50, 1 Ru 2.57
Zn 0.8421 0.8421 0.4645  5 Zn 2.47-2.64, 1 Cu 2.50, 1 Ru 2.57
Cu 0.0000 0.0000 0.0000  6 Zn 2.50
Ru 0.5000 0.5000 0.5000  6 Zn 2.57

Stability comparison, relative energies in meV per atom: a 0; b 375

## a
Compound: Zn2CuRu2
Source: Alexandria via LeMat-Bulk
Functional: PBE
Structure: relaxed

Cell: 6.1529 6.1529 3.7104 Å, 90.00 90.00 90.00°
Last column: nearest neighbours and their distance in Å.
Atoms (fractional coordinates):
Zn 0.1372 0.3628 0.0000  2 Cu 2.39, 1 Zn 2.39, 6 Ru 2.52-2.64
Zn 0.3628 0.8628 0.0000  2 Cu 2.39, 1 Zn 2.39, 6 Ru 2.52-2.64
Zn 0.6372 0.1372 0.0000  2 Cu 2.39, 1 Zn 2.39, 6 Ru 2.52-2.64
Zn 0.8628 0.6372 0.0000  2 Cu 2.39, 1 Zn 2.39, 6 Ru 2.52-2.64
Cu 0.0000 0.0000 0.0000  4 Zn 2.39
Cu 0.5000 0.5000 0.0000  4 Zn 2.39
Ru 0.1670 0.6670 0.5000  6 Zn 2.52-2.64
Ru 0.3330 0.1670 0.5000  6 Zn 2.52-2.64
Ru 0.6670 0.8330 0.5000  6 Zn 2.52-2.64
Ru 0.8330 0.3330 0.5000  6 Zn 2.52-2.64

## b
Compound: Zn2CuRu2
Source: Alexandria via LeMat-Bulk
Functional: PBE
Structure: relaxed

Cell: 6.5423 6.5423 3.4900 Å, 90.00 90.00 90.00°
Last column: nearest neighbours and their distance in Å.
Atoms (fractional coordinates):
Zn 0.1706 0.3294 0.0000  6 Ru 2.53-2.65
Zn 0.3294 0.8294 0.0000  6 Ru 2.53-2.65
Zn 0.6706 0.1706 0.0000  6 Ru 2.53-2.65
Zn 0.8294 0.6706 0.0000  6 Ru 2.53-2.65
Cu 0.0000 0.0000 0.5000  4 Ru 2.56
Cu 0.5000 0.5000 0.5000  4 Ru 2.56
Ru 0.1306 0.6306 0.5000  1 Ru 2.42, 6 Zn 2.53-2.65, 2 Cu 2.56
Ru 0.3694 0.1306 0.5000  1 Ru 2.42, 6 Zn 2.53-2.65, 2 Cu 2.56
Ru 0.6306 0.8694 0.5000  1 Ru 2.42, 6 Zn 2.53-2.65, 2 Cu 2.56
Ru 0.8694 0.3694 0.5000  1 Ru 2.42, 6 Zn 2.53-2.65, 2 Cu 2.56

Stability comparison, relative energies in meV per atom: a 12; b 0

## a
Compound: Zn3CuRu
Source: Alexandria via LeMat-Bulk
Functional: PBE
Structure: relaxed

Cell: 4.3986 4.3986 4.3986 Å, 90.00 90.00 90.00°
Last column: nearest neighbours and their distance in Å.
Atoms (fractional coordinates):
Zn 0.0000 0.0000 0.5000  2 Cu 2.20
Zn 0.0000 0.5000 0.0000  2 Cu 2.20
Zn 0.5000 0.0000 0.0000  2 Cu 2.20
Cu 0.0000 0.0000 0.0000  6 Zn 2.20
Ru 0.5000 0.5000 0.5000  12 Zn 3.11

## b
Compound: Zn3CuRu
Source: Alexandria via LeMat-Bulk
Functional: PBE
Structure: relaxed

Cell: 8.1245 8.1245 4.1828 Å, 90.00 90.00 150.14°
Last column: nearest neighbours and their distance in Å.
Atoms (fractional coordinates):
Zn 0.0511 0.9489 0.7500  2 Ru 2.62, 4 Zn 2.64-2.70, 2 Cu 2.65
Zn 0.2494 0.7506 0.7500  4 Cu 2.57-2.58, 4 Ru 2.60-2.61
Zn 0.4421 0.5579 0.7500  2 Ru 2.55, 2 Cu 2.59, 4 Zn 2.70-2.77
Zn 0.5579 0.4421 0.2500  2 Ru 2.55, 2 Cu 2.59, 4 Zn 2.70-2.77
Zn 0.7506 0.2494 0.2500  4 Cu 2.57-2.58, 4 Ru 2.60-2.61
Zn 0.9489 0.0511 0.2500  2 Ru 2.62, 4 Zn 2.64-2.70, 2 Cu 2.65
Cu 0.3452 0.6548 0.2500  8 Zn 2.57-2.65
Cu 0.6548 0.3452 0.7500  8 Zn 2.57-2.65
Ru 0.1511 0.8489 0.2500  8 Zn 2.55-2.62
Ru 0.8489 0.1511 0.7500  8 Zn 2.55-2.62

Stability comparison, relative energies in meV per atom: a 800; b 0

## a
Compound: Zr4CuRu
Source: Alexandria via LeMat-Bulk
Functional: PBE
Structure: relaxed

Cell: 3.2661 3.2661 10.9972 Å, 90.00 90.00 90.00°
Last column: nearest neighbours and their distance in Å.
Atoms (fractional coordinates):
Zr 0.0000 0.0000 0.1493  4 Ru 2.83, 4 Zr 3.13
Zr 0.0000 0.0000 0.8507  4 Ru 2.83, 4 Zr 3.13
Zr 0.5000 0.5000 0.3414  4 Cu 2.89, 4 Zr 3.13
Zr 0.5000 0.5000 0.6586  4 Cu 2.89, 4 Zr 3.13
Cu 0.0000 0.0000 0.5000  8 Zr 2.89
Ru 0.5000 0.5000 0.0000  8 Zr 2.83

## b
Compound: Zr4CuRu
Source: Alexandria via LeMat-Bulk
Functional: PBE
Structure: relaxed

Cell: 5.9989 5.5568 7.1769 Å, 90.00 90.00 90.00°
Last column: nearest neighbours and their distance in Å.
Atoms (fractional coordinates):
Zr 0.0000 0.2329 0.1418  1 Ru 2.88, 1 Cu 2.97, 4 Zr 3.15-3.19
Zr 0.0000 0.7671 0.8582  1 Ru 2.88, 1 Cu 2.97, 4 Zr 3.15-3.19
Zr 0.2500 0.2454 0.7500  2 Ru 2.71, 2 Cu 2.73, 2 Zr 3.00
Zr 0.2500 0.7546 0.2500  2 Ru 2.71, 2 Cu 2.73, 2 Zr 3.00
Zr 0.5000 0.2329 0.3582  1 Ru 2.88, 1 Cu 2.97, 4 Zr 3.15-3.19
Zr 0.5000 0.7671 0.6418  1 Ru 2.88, 1 Cu 2.97, 4 Zr 3.15-3.19
Zr 0.7500 0.2454 0.7500  2 Ru 2.71, 2 Cu 2.73, 2 Zr 3.00
Zr 0.7500 0.7546 0.2500  2 Ru 2.71, 2 Cu 2.73, 2 Zr 3.00
Cu 0.0000 0.5000 0.5000  6 Zr 2.73-2.97, 2 Ru 2.78
Cu 0.5000 0.5000 0.0000  6 Zr 2.73-2.97, 2 Ru 2.78
Ru 0.0000 0.0000 0.5000  6 Zr 2.71-2.88, 2 Cu 2.78
Ru 0.5000 0.0000 0.0000  6 Zr 2.71-2.88, 2 Cu 2.78

Stability comparison, relative energies in meV per atom: a 0; b 92

## a
Compound: ZrCuRu
Source: Alexandria via LeMat-Bulk
Functional: PBE
Structure: relaxed

Cell: 4.4312 4.4312 2.8431 Å, 90.00 90.00 120.00°
Last column: nearest neighbours and their distance in Å.
Atoms (fractional coordinates):
Zr 0.0000 0.0000 0.0000  3 Ru 2.72, 3 Cu 2.79, 2 Zr 2.84
Cu 0.6667 0.3333 0.3944  3 Ru 2.68, 3 Zr 2.79, 2 Cu 2.84
Ru 0.3333 0.6667 0.6779  3 Cu 2.68, 3 Zr 2.72, 2 Ru 2.84

## b
Compound: ZrCuRu
Source: Alexandria via LeMat-Bulk
Functional: PBE
Structure: relaxed

Cell: 3.3520 3.3520 8.6032 Å, 90.00 90.00 90.00°
Last column: nearest neighbours and their distance in Å.
Atoms (fractional coordinates):
Zr 0.0000 0.0000 0.0000  5 Ru 2.76-2.88, 5 Cu 2.78-2.82
Zr 0.5000 0.5000 0.5000  5 Ru 2.76-2.88, 5 Cu 2.78-2.82
Cu 0.0000 0.0000 0.3235  5 Ru 2.73-2.94, 5 Zr 2.78-2.82
Cu 0.5000 0.5000 0.8235  5 Ru 2.73-2.94, 5 Zr 2.78-2.82
Ru 0.0000 0.0000 0.6651  5 Cu 2.73-2.94, 5 Zr 2.76-2.88
Ru 0.5000 0.5000 0.1651  5 Cu 2.73-2.94, 5 Zr 2.76-2.88

Stability comparison, relative energies in meV per atom: a 141; b 0